--- one ---
# LiIn2Hg4, relaxed, DFT PBE
data_LiIn2Hg4
_chemical_formula_sum 'Li1 In2 Hg4'
_cell_length_a 7.842
_cell_length_b 7.842
_cell_length_c 7.271
_cell_angle_alpha 117.56
_cell_angle_beta 117.56
_cell_angle_gamma 26.21
_space_group_name_H-M_alt 'P 1'
_space_group_IT_number 1
_space_group_name_Hall 'P 1'
loop_
_atom_site_label
_atom_site_type_symbol
_atom_site_fract_x
_atom_site_fract_y
_atom_site_fract_z
Li1 Li 0.000 0.000 0.000
In1 In 0.228 0.228 0.199
In2 In 0.772 0.772 0.801
Hg1 Hg 0.086 0.086 0.731
Hg2 Hg 0.397 0.397 0.649
Hg3 Hg 0.603 0.603 0.351
Hg4 Hg 0.914 0.914 0.269
# DOS(E_F) ... 2.8 states/eV/cell
# V ... 24.83 A^3/atom



--- two ---
# LiIn2Hg4, relaxed, DFT PBE
data_LiIn2Hg4
_chemical_formula_sum 'Li1 In2 Hg4'
_cell_length_a 8.219
_cell_length_b 8.219
_cell_length_c 8.219
_cell_angle_alpha 143.32
_cell_angle_beta 143.32
_cell_angle_gamma 52.84
_space_group_name_H-M_alt 'P 1'
_space_group_IT_number 1
_space_group_name_Hall 'P 1'
loop_
_atom_site_label
_atom_site_type_symbol
_atom_site_fract_x
_atom_site_fract_y
_atom_site_fract_z
Li1 Li 0.000 0.000 0.000
In1 In 0.378 0.378 0.000
In2 In 0.622 0.622 0.000
Hg1 Hg 0.000 0.500 0.500
Hg2 Hg 0.179 0.179 0.000
Hg3 Hg 0.500 0.000 0.500
Hg4 Hg 0.821 0.821 0.000
# DOS(E_F) ... 3.6 states/eV/cell
# V ... 28.13 A^3/atom



Quick look at relative energies in eV/atom: one 0.000; two 0.102.



--- one ---
# LiIn3Hg7, relaxed, DFT PBE
data_LiIn3Hg7
_chemical_formula_sum 'Li1 In3 Hg7'
_cell_length_a 7.650
_cell_length_b 7.650
_cell_length_c 5.777
_cell_angle_alpha 110.77
_cell_angle_beta 110.77
_cell_angle_gamma 83.16
_space_group_name_H-M_alt 'P 1'
_space_group_IT_number 1
_space_group_name_Hall 'P 1'
loop_
_atom_site_label
_atom_site_type_symbol
_atom_site_fract_x
_atom_site_fract_y
_atom_site_fract_z
Li1 Li 0.000 0.000 0.000
In1 In 0.310 0.690 0.500
In2 In 0.500 0.500 0.000
In3 In 0.690 0.310 0.500
Hg1 Hg 0.000 0.000 0.500
Hg2 Hg 0.081 0.592 0.868
Hg3 Hg 0.261 0.261 0.453
Hg4 Hg 0.408 0.919 0.132
Hg5 Hg 0.592 0.081 0.868
Hg6 Hg 0.739 0.739 0.547
Hg7 Hg 0.919 0.408 0.132
# DOS(E_F) ... 2.6 states/eV/cell
# V ... 26.87 A^3/atom



--- two ---
# LiIn3Hg7, relaxed, DFT PBE
data_LiIn3Hg7
_chemical_formula_sum 'Li1 In3 Hg7'
_cell_length_a 7.833
_cell_length_b 7.833
_cell_length_c 5.365
_cell_angle_alpha 108.46
_cell_angle_beta 108.46
_cell_angle_gamma 90.80
_space_group_name_H-M_alt 'P 1'
_space_group_IT_number 1
_space_group_name_Hall 'P 1'
loop_
_atom_site_label
_atom_site_type_symbol
_atom_site_fract_x
_atom_site_fract_y
_atom_site_fract_z
Li1 Li 0.000 0.000 0.000
In1 In 0.271 0.729 0.500
In2 In 0.500 0.500 0.000
In3 In 0.729 0.271 0.500
Hg1 Hg 0.000 0.000 0.500
Hg2 Hg 0.085 0.580 0.833
Hg3 Hg 0.293 0.293 0.306
Hg4 Hg 0.420 0.915 0.167
Hg5 Hg 0.580 0.085 0.833
Hg6 Hg 0.707 0.707 0.694
Hg7 Hg 0.915 0.420 0.167
# DOS(E_F) ... 3.4 states/eV/cell
# V ... 26.71 A^3/atom



Quick look at relative energies in eV/atom: one 0.000; two 0.006.